[1]
The following is a DFT calculation (PBE with a Hubbard U) of crystalline FeRuW2F at its relaxed geometry.

Results
The volume is 16.28 Å³ per atom. For the total energy, the calculation gives -25.13 eV per cell.

Unit cell a=4.261 b=4.481 c=4.261 alpha=90.00 beta=90.00 gamma=90.00
Fractional positions:
1 W 0.000 0.000 0.500
2 Ru 0.000 0.500 0.000
3 W 0.500 0.000 0.000
4 Fe 0.500 0.500 0.500
5 F 0.000 0.000 0.000



[2]
The following is a DFT calculation (PBE with a Hubbard U) of crystalline FeSF3 at its relaxed geometry.

Results
The volume is 15.77 Å³ per atom. For the total energy, the calculation gives -15.81 eV per cell. For the energy above the most stable polymorph in this dataset, the calculation gives 1097 meV/atom.

Unit cell a=4.288 b=4.288 c=4.288 alpha=90.00 beta=90.00 gamma=90.00
Fractional positions:
1 Fe 0.500 0.500 0.500
2 F 0.500 0.000 0.000
3 F 0.000 0.000 0.500
4 F 0.000 0.500 0.000
5 S 0.000 0.000 0.000



[3]
The following is a DFT calculation (PBE with a Hubbard U) of crystalline FeSF3 at its relaxed geometry.

Results
The volume is 13.56 Å³ per atom. For the total energy, the calculation gives -21.30 eV per cell. For the energy above the most stable polymorph in this dataset, the calculation gives 0 meV/atom.

Unit cell a=4.078 b=4.078 c=4.078 alpha=90.00 beta=90.00 gamma=90.00
Fractional positions:
1 F 0.500 0.000 0.000
2 S 0.500 0.500 0.500
3 Fe 0.000 0.000 0.000
4 F 0.000 0.000 0.500
5 F 0.000 0.500 0.000



[4]
The following is a DFT calculation (PBE with a Hubbard U) of crystalline ScFeSF2 at its relaxed geometry.

Results
The volume is 15.94 Å³ per atom. For the total energy, the calculation gives -28.12 eV per cell.

Unit cell a=3.911 b=5.210 c=3.911 alpha=90.00 beta=90.00 gamma=90.00
Fractional positions:
1 F 0.000 0.000 0.500
2 Fe 0.000 0.000 0.000
3 F 0.500 0.000 0.000
4 S 0.000 0.500 0.000
5 Sc 0.500 0.500 0.500



[5]
The following is a DFT calculation (PBE with a Hubbard U) of crystalline Zr2FeSF at its relaxed geometry.

Results
The volume is 20.83 Å³ per atom. For the total energy, the calculation gives -28.74 eV per cell.

Unit cell a=4.900 b=4.338 c=4.900 alpha=90.00 beta=90.00 gamma=90.00
Fractional positions:
1 S 0.000 0.000 0.000
2 Zr 0.500 0.000 0.000
3 F 0.000 0.500 0.000
4 Fe 0.500 0.500 0.500
5 Zr 0.000 0.000 0.500



[6]
The following is a DFT calculation (PBE with a Hubbard U) of crystalline Fe2SbF8 at its relaxed geometry.

Results
The volume is 13.71 Å³ per atom. For the total energy, the calculation gives -55.55 eV per cell. For the energy above the most stable polymorph in this dataset, the calculation gives 0 meV/atom.

Unit cell a=5.352 b=5.479 c=5.479 alpha=74.78 beta=100.62 gamma=100.62
Fractional positions:
1 F 0.689 0.049 0.660
2 F 0.789 0.181 0.181
3 Sb 0.000 0.000 0.000
4 Fe 0.446 0.672 0.672
5 F 0.265 0.437 0.437
6 F 0.311 0.951 0.340
7 F 0.311 0.340 0.951
8 F 0.689 0.660 0.049
9 F 0.735 0.563 0.563
10 F 0.211 0.819 0.819
11 Fe 0.554 0.328 0.328



[7]
The following is a DFT calculation (PBE with a Hubbard U) of crystalline Fe3SbF at its relaxed geometry.

Results
The volume is 15.75 Å³ per atom. For the total energy, the calculation gives -21.05 eV per cell. For the energy above the most stable polymorph in this dataset, the calculation gives 0 meV/atom.

Unit cell a=4.287 b=4.287 c=4.287 alpha=90.00 beta=90.00 gamma=90.00
Fractional positions:
1 Fe 0.000 0.500 0.000
2 Fe 0.000 0.000 0.500
3 F 0.000 0.000 0.000
4 Sb 0.500 0.500 0.500
5 Fe 0.500 0.000 0.000



[8]
The following is a DFT calculation (PBE with a Hubbard U) of crystalline Fe3SbF at its relaxed geometry.

Results
The volume is 25.20 Å³ per atom. For the total energy, the calculation gives -18.24 eV per cell. For the energy above the most stable polymorph in this dataset, the calculation gives 561 meV/atom.

Unit cell a=5.013 b=5.013 c=5.013 alpha=90.00 beta=90.00 gamma=90.00
Fractional positions:
1 Fe 0.500 0.000 0.000
2 F 0.500 0.500 0.500
3 Sb 0.000 0.000 0.000
4 Fe 0.000 0.500 0.000
5 Fe 0.000 0.000 0.500